[1]
Here is a relaxed NaMn2PO4 crystal from Alexandria. Energies are from GGA+U.

Cell and atoms, written as POSCAR:
```
NaMn2PO4
1.0
-5.2789 -1.2254 1.0617
3.0249 -2.6160 3.8082
0.9211 4.4626 -0.5252
Na Mn P O
1 2 1 4
direct
0.0415 0.0415 0.0830 Na
0.7960 0.2960 0.5919 Mn
0.2960 0.7960 0.5919 Mn
0.5333 0.5333 0.0667 P
0.5638 0.5638 0.7465 O
0.3074 0.7796 0.0870 O
0.7796 0.3074 0.0870 O
0.1827 0.1827 0.7465 O
```

Calculated values
- Total magnetization: 10.0 μB/cell
- ρ: 4.1 g cm⁻³
- Electronic total energy: -0.4988 Ry/atom


[2]
Here is a relaxed Na2MnPO4 crystal from Alexandria. Energies are from GGA+U.

Cell and atoms, written as POSCAR:
```
Na2MnPO4
1.0
5.2148 0.1339 0.2051
-2.1009 4.7747 -0.2051
-2.1009 -2.1092 4.2885
Na Mn P O
2 1 1 4
direct
0.5000 0.7500 0.2500 Na
0.0000 0.0000 0.0000 Na
0.5000 0.2500 0.7500 Mn
0.0000 0.5000 0.5000 P
0.6934 0.4731 0.5084 O
0.0353 0.2203 0.5269 O
0.9647 0.4916 0.1850 O
0.3066 0.8150 0.7797 O
```

Calculated values
- Total magnetization: 4.4 μB/cell
- ρ: 3.0 g cm⁻³
- Electronic total energy: -0.4554 Ry/atom


[3]
Here is a relaxed NaMn2P2O7 crystal from Alexandria. Energies are from GGA+U.

Cell and atoms, written as POSCAR:
```
NaMn2P2O7
1.0
-2.7290 4.6428 -0.4586
-5.3625 0.0605 0.6729
-1.7987 2.7922 7.1217
Na Mn P O
1 2 2 7
direct
0.5000 0.5000 0.5000 Na
0.7242 0.7242 0.8273 Mn
0.2758 0.2758 0.1727 Mn
0.9254 0.9254 0.2239 P
0.0746 0.0746 0.7761 P
0.1692 0.9245 0.2822 O
0.6240 0.1692 0.2822 O
0.9245 0.6240 0.2822 O
0.3760 0.0755 0.7178 O
0.8308 0.3760 0.7178 O
0.0000 0.0000 0.0000 O
0.0755 0.8308 0.7178 O
```

Calculated values
- Total magnetization: 10.5 μB/cell
- ρ: 2.8 g cm⁻³
- Electronic total energy: -0.5164 Ry/atom


[4]
Here is a relaxed Na3PaMn2O6 crystal from Alexandria. Energies are from GGA+U.

Cell and atoms, written as POSCAR:
```
Na3PaMn2O6
1.0
-2.4548 -4.9253 -1.5361
5.2784 1.2558 -1.7905
1.1972 -1.2673 5.6027
Na Pa Mn O
3 1 2 6
direct
0.1775 0.8225 0.5000 Na
0.8225 0.1775 0.5000 Na
0.5000 0.5000 0.5000 Na
0.0000 0.0000 0.0000 Pa
0.3337 0.6663 0.0000 Mn
0.6663 0.3337 0.0000 Mn
0.9287 0.6037 0.7856 O
0.7464 0.7464 0.2143 O
0.0713 0.3963 0.2144 O
0.6037 0.9287 0.7856 O
0.2536 0.2536 0.7857 O
0.3963 0.0713 0.2144 O
```

Calculated values
- Total magnetization: 10.0 μB/cell
- ρ: 5.3 g cm⁻³
- Electronic total energy: -0.5205 Ry/atom